No. 1
# Ba3NpAl2O9, optimized geometry, DFT GGA-PBE
data_Ba3NpAl2O9
_cell_length_a 5.738
_cell_length_b 5.738
_cell_length_c 7.104
_cell_angle_alpha 90.00
_cell_angle_beta 90.00
_cell_angle_gamma 120.00
_symmetry_space_group_name_H-M 'P 1'
_symmetry_Int_Tables_number 1
_symmetry_space_group_name_Hall 'P 1'
loop_
_atom_site_label
_atom_site_type_symbol
_atom_site_fract_x
_atom_site_fract_y
_atom_site_fract_z
_atom_site_occupancy
Ba1 Ba 0.000 0.000 0.000 1
Ba2 Ba 0.333 0.667 0.682 1
Ba3 Ba 0.667 0.333 0.318 1
Np1 Np 0.000 0.000 0.500 1
Al1 Al 0.333 0.667 0.139 1
Al2 Al 0.667 0.333 0.861 1
O1 O 0.000 0.500 0.000 1
O2 O 0.171 0.342 0.328 1
O3 O 0.171 0.829 0.328 1
O4 O 0.342 0.171 0.672 1
O5 O 0.500 0.000 0.000 1
O6 O 0.500 0.500 0.000 1
O7 O 0.658 0.829 0.328 1
O8 O 0.829 0.171 0.672 1
O9 O 0.829 0.658 0.672 1
# Energy relative to the elements, uncorrected (eV per atom): -2.892
# Crystal system: trigonal
# Symmetry: P-3m1, No. 164

***

No. 2
# Ba3NpAl2O8, optimized geometry, DFT GGA-PBE
data_Ba3NpAl2O8
_cell_length_a 5.941
_cell_length_b 5.941
_cell_length_c 7.599
_cell_angle_alpha 90.00
_cell_angle_beta 90.00
_cell_angle_gamma 120.00
_symmetry_space_group_name_H-M 'P 1'
_symmetry_Int_Tables_number 1
_symmetry_space_group_name_Hall 'P 1'
loop_
_atom_site_label
_atom_site_type_symbol
_atom_site_fract_x
_atom_site_fract_y
_atom_site_fract_z
_atom_site_occupancy
Ba1 Ba 0.000 0.000 0.000 1
Ba2 Ba 0.333 0.667 0.680 1
Ba3 Ba 0.667 0.333 0.320 1
Np1 Np 0.000 0.000 0.500 1
Al1 Al 0.333 0.667 0.224 1
Al2 Al 0.667 0.333 0.776 1
O1 O 0.173 0.346 0.321 1
O2 O 0.173 0.827 0.321 1
O3 O 0.333 0.667 0.998 1
O4 O 0.346 0.173 0.679 1
O5 O 0.654 0.827 0.321 1
O6 O 0.667 0.333 0.002 1
O7 O 0.827 0.173 0.679 1
O8 O 0.827 0.654 0.679 1
# Energy relative to the elements, uncorrected (eV per atom): -2.877
# Fermi-level density of states (states/eV/atom): 0.77
# Crystal system: trigonal
# Symmetry: P-3m1, No. 164

***

Please write out number 2 again, unchanged.
# Ba3NpAl2O8, optimized geometry, DFT GGA-PBE
data_Ba3NpAl2O8
_cell_length_a 5.941
_cell_length_b 5.941
_cell_length_c 7.599
_cell_angle_alpha 90.00
_cell_angle_beta 90.00
_cell_angle_gamma 120.00
_symmetry_space_group_name_H-M 'P 1'
_symmetry_Int_Tables_number 1
_symmetry_space_group_name_Hall 'P 1'
loop_
_atom_site_label
_atom_site_type_symbol
_atom_site_fract_x
_atom_site_fract_y
_atom_site_fract_z
_atom_site_occupancy
Ba1 Ba 0.000 0.000 0.000 1
Ba2 Ba 0.333 0.667 0.680 1
Ba3 Ba 0.667 0.333 0.320 1
Np1 Np 0.000 0.000 0.500 1
Al1 Al 0.333 0.667 0.224 1
Al2 Al 0.667 0.333 0.776 1
O1 O 0.173 0.346 0.321 1
O2 O 0.173 0.827 0.321 1
O3 O 0.333 0.667 0.998 1
O4 O 0.346 0.173 0.679 1
O5 O 0.654 0.827 0.321 1
O6 O 0.667 0.333 0.002 1
O7 O 0.827 0.173 0.679 1
O8 O 0.827 0.654 0.679 1
# Energy relative to the elements, uncorrected (eV per atom): -2.877
# Fermi-level density of states (states/eV/atom): 0.77
# Crystal system: trigonal
# Symmetry: P-3m1, No. 164

***

Question: Look up the energy relative to the elements, uncorrected of the first one.
Answer: -2.892 eV per atom

***

Question: What is the energy relative to the elements, uncorrected in the first record?
Answer: -2.892 eV per atom